No. 1
Y2ZrPb: optimized geometry, GGA-PBE.

Results
The density of states at the Fermi level comes out at 5.250 states/eV per cell. The energy relative to the elements comes out at -0.23 eV/f.u. The calculated volume comes out at 27.386 A^3/atom.

Geometry as POSCAR:
```
Y2ZrPb
1.0
5.773 0.000 0.000
0.000 3.415 0.000
-1.937 0.000 5.557
Y Zr Pb
2 1 1
direct
0.000 0.000 0.000
0.000 0.500 0.500
0.500 0.000 0.500
0.500 0.500 0.000
```


No. 2
YZr3Pb: optimized geometry, GGA-PBE.

Results
The density of states at the Fermi level comes out at 9.365 states/eV per cell. The energy relative to the elements comes out at 4.29 eV/f.u. The calculated volume comes out at 32.090 A^3/atom. As for the relative energy among the computed polymorphs: 0.000 eV/atom.

Geometry as POSCAR:
```
YZr3Pb
1.0
5.434 0.000 0.000
0.000 5.434 0.000
0.000 0.000 5.434
Y Zr Pb
1 3 1
direct
0.000 0.000 0.000
0.000 0.500 0.500
0.500 0.000 0.500
0.500 0.500 0.000
0.500 0.500 0.500
```


No. 3
Y2ZrPb: optimized geometry, GGA-PBE.

Results
The density of states at the Fermi level comes out at 5.141 states/eV per cell. The energy relative to the elements comes out at -0.45 eV/f.u. The calculated volume comes out at 27.676 A^3/atom.

Geometry as POSCAR:
```
Y2ZrPb
1.0
4.094 0.000 0.000
0.000 4.094 0.000
0.000 0.000 6.604
Y Zr Pb
2 1 1
direct
0.000 0.000 0.000
0.500 0.500 0.278
0.000 0.000 0.521
0.500 0.500 0.753
```